# MnV2GeO

A geometry-optimized MnV2GeO structure (PBE with a Hubbard U, Alexandria).

- Uncorrected energy: -24.7 eV/f.u.
- Theoretical density: 4.0 g/cm³
- Total magnetization: 2.4 μB/cell
- Calculated volume: 20.250 Å³ per atom

a b c (Å): 4.748 4.748 4.491
angles (deg): 90.00 90.00 90.00
Space group P4/mmm (No. 123)
One atom of each set of equivalent atoms:
Mn 0.000 0.000 0.000
V 0.000 0.500 0.000
Ge 0.000 0.000 0.500
O 0.500 0.500 0.500


# MnVGe2O6

A geometry-optimized MnVGe2O6 structure (PBE with a Hubbard U, Alexandria).

- Uncorrected energy: -71.0 eV/f.u.
- Theoretical density: 4.7 g/cm³
- Total magnetization: 31.9 μB/cell
- Calculated volume: 12.203 Å³ per atom

a b c (Å): 9.985 9.327 5.354
angles (deg): 90.00 101.76 90.00
Space group C2/c (No. 15)
One atom of each set of equivalent atoms:
Mn 0.000 0.222 0.250
V 0.000 0.407 0.750
Ge 0.202 0.093 0.787
O 0.117 0.409 0.138
O 0.120 0.240 0.627
O 0.143 0.063 0.085


# MnGeWO6

A geometry-optimized MnGeWO6 structure (PBE with a Hubbard U, Alexandria).

- Uncorrected energy: -64.0 eV/f.u.
- Theoretical density: 7.1 g/cm³
- Total magnetization: 6.0 μB/cell
- Calculated volume: 10.529 Å³ per atom

a b c (Å): 4.550 4.550 9.156
angles (deg): 90.00 90.00 90.00
Space group P4_2nm (No. 102)
One atom of each set of equivalent atoms:
Mn 0.000 0.000 0.000
Ge 0.000 0.000 0.666
W 0.000 0.000 0.332
O 0.192 0.192 0.828
O 0.194 0.194 0.505
O 0.202 0.202 0.165


# Y2MnGeO6

A geometry-optimized Y2MnGeO6 structure (PBE with a Hubbard U, Alexandria).

- Uncorrected energy: -79.3 eV/f.u.
- Theoretical density: 4.9 g/cm³
- Total magnetization: 5.0 μB/cell
- Calculated volume: 13.479 Å³ per atom

a b c (Å): 5.231 5.231 4.925
angles (deg): 90.00 90.00 90.00
Space group P4mm (No. 99)
One atom of each set of equivalent atoms:
Y 0.000 0.500 0.000
Mn 0.000 0.000 0.559
Ge 0.500 0.500 0.602
O 0.000 0.000 0.151
O 0.263 0.263 0.733
O 0.500 0.500 0.237